# 1
This record from Alexandria via LeMat-Bulk describes a relaxed Nd4SmDy2Th crystal. The functional is PBE-GGA.

abc: 5.120 5.121 10.303
angles: 90.00 90.01 90.00
Positions (direct):
Nd  0.001  0.000  0.246
Nd  0.499  0.500  0.753
Nd  0.501  0.500  0.247
Nd  0.999  0.000  0.754
Sm  0.500  0.000  0.500
Dy  0.000  0.500  0.500
Dy  0.500  0.000  0.000
Th  0.000  0.500  0.000

SG: No. 10
N(E_F) (states/eV/atom): 1.446
V (Å³ per cell): 270.2
E_tot (eV per atom): -5.0226
Total magnetic moment (Bohr magnetons per cell): 0.0

# 2
This record from Alexandria via LeMat-Bulk describes a relaxed NdSm3Dy6Th2 crystal. The functional is PBE-GGA.

abc: 6.222 6.222 11.778
angles: 95.07 95.07 119.97
Positions (direct):
Nd  0.000  0.000  0.000
Sm  0.166  0.834  0.500
Sm  0.500  0.500  0.500
Sm  0.834  0.166  0.500
Dy  0.083  0.421  0.247
Dy  0.255  0.255  0.753
Dy  0.421  0.083  0.247
Dy  0.579  0.917  0.753
Dy  0.745  0.745  0.247
Dy  0.917  0.579  0.753
Th  0.333  0.667  0.000
Th  0.667  0.333  0.000

SG: No. 12
N(E_F) (states/eV/atom): 1.326
V (Å³ per cell): 388.8
E_tot (eV per atom): -5.0890
Total magnetic moment (Bohr magnetons per cell): 0.0

# 3
This record from Alexandria via LeMat-Bulk describes a relaxed Nd6Sm2Dy3Tl crystal. The functional is PBE-GGA.

abc: 6.236 6.236 11.904
angles: 95.04 95.04 120.13
Positions (direct):
Nd  0.083  0.410  0.750
Nd  0.243  0.243  0.249
Nd  0.410  0.083  0.750
Nd  0.590  0.917  0.250
Nd  0.757  0.757  0.751
Nd  0.917  0.590  0.250
Sm  0.334  0.666  0.500
Sm  0.666  0.334  0.500
Dy  0.167  0.833  0.000
Dy  0.500  0.500  0.000
Dy  0.833  0.167  0.000
Tl  0.000  0.000  0.500

SG: No. 12
N(E_F) (states/eV/atom): 1.147
V (Å³ per cell): 394.2
E_tot (eV per atom): -4.5400
Total magnetic moment (Bohr magnetons per cell): 0.0

# 4
This record from Alexandria via LeMat-Bulk describes a relaxed NdSmDyTl crystal. The functional is PBE-GGA.

abc: 5.567 5.567 5.567
angles: 60.00 60.00 60.00
Positions (direct):
Nd  0.000  0.000  0.000
Sm  0.500  0.500  0.500
Dy  0.750  0.750  0.750
Tl  0.250  0.250  0.250

SG: No. 216
N(E_F) (states/eV/atom): 1.423
V (Å³ per cell): 122.0
E_tot (eV per atom): -4.1731
Total magnetic moment (Bohr magnetons per cell): 1.3

# 5
This record from Alexandria via LeMat-Bulk describes a relaxed NdSm2DyTl4 crystal. The functional is PBE-GGA.

abc: 9.462 9.462 9.462
angles: 33.49 33.49 33.49
Positions (direct):
Nd  0.000  0.000  0.000
Sm  0.249  0.249  0.249
Sm  0.751  0.751  0.751
Dy  0.500  0.500  0.500
Tl  0.126  0.126  0.126
Tl  0.376  0.376  0.376
Tl  0.624  0.624  0.624
Tl  0.874  0.874  0.874

SG: No. 166
N(E_F) (states/eV/atom): 0.840
V (Å³ per cell): 229.8
E_tot (eV per atom): -3.9019
Total magnetic moment (Bohr magnetons per cell): 0.0

# 6
This record from Alexandria via LeMat-Bulk describes a relaxed Nd2Sm3Dy6Tl crystal. The functional is PBE-GGA.

abc: 6.148 6.148 11.802
angles: 95.01 95.01 120.04
Positions (direct):
Nd  0.166  0.834  0.000
Nd  0.834  0.166  0.000
Sm  0.000  0.000  0.500
Sm  0.333  0.667  0.500
Sm  0.667  0.333  0.500
Dy  0.090  0.418  0.752
Dy  0.255  0.255  0.249
Dy  0.418  0.090  0.752
Dy  0.582  0.910  0.248
Dy  0.745  0.745  0.751
Dy  0.910  0.582  0.248
Tl  0.500  0.500  0.000

SG: No. 12
N(E_F) (states/eV/atom): 1.334
V (Å³ per cell): 380.2
E_tot (eV per atom): -4.5020
Total magnetic moment (Bohr magnetons per cell): 0.0

Per-record energy relative to the elements, meV/atom: 29.2 25.8 -21.9 -59.2 -367.8 -29.4